TiCrO3 | GGA+U | relaxed

Calculated values
The total energy is -168.6 eV per cell. The space group is Pnma. The value obtained for the total magnetic moment is 16.0 Bohr magnetons per cell.

a b c (Å): 5.393 7.620 5.130
angles (deg): 90.00 90.00 90.00
Fractional positions:
Ti1 0.000 0.000 0.000
Ti2 0.000 0.500 0.000
Ti3 0.500 0.000 0.500
Ti4 0.500 0.500 0.500
Cr1 0.076 0.250 0.489
Cr2 0.424 0.750 0.989
Cr3 0.576 0.250 0.011
Cr4 0.924 0.750 0.511
O1 0.053 0.750 0.132
O2 0.207 0.570 0.699
O3 0.207 0.930 0.699
O4 0.293 0.070 0.199
O5 0.293 0.430 0.199
O6 0.447 0.250 0.632
O7 0.553 0.750 0.368
O8 0.707 0.570 0.801
O9 0.707 0.930 0.801
O10 0.793 0.070 0.301
O11 0.793 0.430 0.301
O12 0.947 0.250 0.868